Record 1
Cs2Dy2SnS6 | PBE | optimized geometry

Cell: 6.8648 6.8648 8.6317 Å, 97.98 97.98 119.73°
Last column: nearest neighbours and their distance in Å.
Atoms (fractional coordinates):
Cs 0.8300 0.1700 0.0000  6 S 3.51-3.55
Cs 0.1700 0.8300 0.0000  6 S 3.51-3.55
Dy 0.3325 0.6675 0.5000  6 S 2.76-2.77
Dy 0.6675 0.3325 0.5000  6 S 2.76-2.77
Sn 0.0000 0.0000 0.5000  6 S 2.61-2.64
S 0.7458 0.7458 0.6747  1 Sn 2.61, 2 Dy 2.77
S 0.0623 0.3805 0.6772  1 Sn 2.64, 2 Dy 2.76-2.77
S 0.2542 0.2542 0.3253  1 Sn 2.61, 2 Dy 2.77
S 0.3805 0.0623 0.6772  1 Sn 2.64, 2 Dy 2.76-2.77
S 0.9377 0.6195 0.3228  1 Sn 2.64, 2 Dy 2.76-2.77
S 0.6195 0.9377 0.3228  1 Sn 2.64, 2 Dy 2.76-2.77

Values from the calculation:
crystal system = monoclinic
symmetry = C2/m
E_form (uncorrected) = -1.44 eV per atom

=====

Record 2
HoNi2Sn | PBE | optimized geometry

Cell: 3.9918 3.4789 5.6030 Å, 90.00 90.00 90.00°
Last column: nearest neighbours and their distance in Å.
Atoms (fractional coordinates):
Ho 0.5000 0.5000 0.0000  8 Ni 2.91
Ni 0.0000 0.9999 0.2166  1 Ni 2.43, 2 Sn 2.55
Ni 0.0000 0.0001 0.7834  1 Ni 2.43, 2 Sn 2.55
Sn 0.5000 0.0000 0.5000  4 Ni 2.55

Values from the calculation:
crystal system = orthorhombic
ΔH_f (0 K) = -27.13 kJ/mol of atoms
symmetry = Pmmm

=====

Record 3
CsZn2Sn | PBE | optimized geometry

Cell: 4.8551 4.8551 7.2184 Å, 70.35 70.35 60.00°
Last column: nearest neighbours and their distance in Å.
Atoms (fractional coordinates):
Cs 0.5000 0.5000 0.5000  8 Zn 3.79-4.01
Zn 0.3103 0.3103 0.0692  3 Sn 2.84, 3 Zn 2.95
Zn 0.6897 0.6897 0.9308  3 Sn 2.84, 3 Zn 2.95
Sn 0.0000 0.0000 0.0000  6 Zn 2.84

Values from the calculation:
crystal system = trigonal
ΔH_f (0 K) = -1.57 kJ/mol of atoms
symmetry = R-3m

=====

Record 4
YNb2Pd2 | PBE | optimized geometry

Cell: 7.9631 7.9631 3.0130 Å, 90.00 90.00 90.00°
Last column: nearest neighbours and their distance in Å.
Atoms (fractional coordinates):
Y 0.0000 0.0000 0.0000  2 Y 3.01, 4 Pd 3.16, 8 Nb 3.31
Y 0.5000 0.5000 0.0000  2 Y 3.01, 4 Pd 3.16, 8 Nb 3.31
Nb 0.1711 0.6711 0.5000  6 Pd 2.76-2.81, 2 Nb 3.01
Nb 0.6711 0.8289 0.5000  6 Pd 2.76-2.81, 2 Nb 3.01
Nb 0.8289 0.3289 0.5000  6 Pd 2.76-2.81, 2 Nb 3.01
Nb 0.3289 0.1711 0.5000  6 Pd 2.76-2.81, 2 Nb 3.01
Pd 0.3765 0.8765 0.0000  6 Nb 2.76-2.81, 3 Pd 2.78-3.01
Pd 0.8765 0.6235 0.0000  6 Nb 2.76-2.81, 3 Pd 2.78-3.01
Pd 0.6235 0.1235 0.0000  6 Nb 2.76-2.81, 3 Pd 2.78-3.01
Pd 0.1235 0.3765 0.0000  6 Nb 2.76-2.81, 3 Pd 2.78-3.01

Values from the calculation:
crystal system = tetragonal
ΔH_f (0 K) = -10.26 kJ/mol of atoms
symmetry = P4/mbm

=====

Record 5
Cd2AgHg2 | PBE | optimized geometry

Cell: 5.3148 7.4971 11.2290 Å, 32.14 76.31 69.24°
Last column: nearest neighbours and their distance in Å.
Atoms (fractional coordinates):
Cd 0.5031 0.8471 0.9603  4 Hg 3.03-3.15, 3 Ag 3.04-3.10, 4 Cd 3.07-3.30
Cd 0.6895 0.3471 0.4603  4 Hg 3.03-3.15, 3 Ag 3.04-3.10, 4 Cd 3.07-3.30
Cd 0.4969 0.1529 0.0397  4 Hg 3.03-3.15, 3 Ag 3.04-3.10, 4 Cd 3.07-3.30
Cd 0.3105 0.6529 0.5397  4 Hg 3.03-3.15, 3 Ag 3.04-3.10, 4 Cd 3.07-3.30
Ag 0.0988 0.7500 0.2500  4 Hg 3.02-3.10, 6 Cd 3.04-3.10, 2 Ag 3.32
Ag 0.9012 0.2500 0.7500  4 Hg 3.02-3.10, 6 Cd 3.04-3.10, 2 Ag 3.32
Hg 0.2820 0.9576 0.6595  2 Ag 3.02-3.10, 4 Cd 3.03-3.15, 4 Hg 3.13-3.30
Hg 0.8991 0.5424 0.8405  2 Ag 3.02-3.10, 4 Cd 3.03-3.15, 4 Hg 3.13-3.30
Hg 0.7180 0.0424 0.3405  2 Ag 3.02-3.10, 4 Cd 3.03-3.15, 4 Hg 3.13-3.30
Hg 0.1009 0.4576 0.1595  2 Ag 3.02-3.10, 4 Cd 3.03-3.15, 4 Hg 3.13-3.30

Values from the calculation:
crystal system = monoclinic
ΔH_f (0 K) = 3.04 kJ/mol of atoms
symmetry = C2/c

=====

Record 6
TaAgIrSe | PBE | optimized geometry

Cell: 3.8056 3.7633 5.4222 Å, 82.89 77.75 81.99°
Last column: nearest neighbours and their distance in Å.
Atoms (fractional coordinates):
Ta 0.2816 0.5799 0.7578  2 Ir 2.43-2.68
Ag 0.8471 0.0886 0.4417  2 Ir 2.66-2.79, 3 Se 2.72-2.98, 1 Ta 2.97
Ir 0.8413 0.1588 0.9250  2 Ta 2.43-2.68, 1 Ag 2.66, 1 Se 2.70
Se 0.4237 0.6415 0.2236  2 Ir 2.70-2.82, 3 Ag 2.72-2.98, 2 Ta 2.74-2.82

Values from the calculation:
crystal system = triclinic
symmetry = P1
E_form (uncorrected) = 0.04 eV per atom

=====

Number 1: total magnetization 0.0 μB/cell, density of states at the Fermi level 0.00 states/eV per atom. Number 2: total magnetization 0.0 μB/cell, density of states at the Fermi level 0.66 states/eV per atom. Number 3: total magnetization 0.0 μB/cell, density of states at the Fermi level 0.28 states/eV per atom. Number 4: total magnetization 0.0 μB/cell, density of states at the Fermi level 1.13 states/eV per atom. Number 5: total magnetization 0.0 μB/cell, density of states at the Fermi level 0.27 states/eV per atom. Number 6: total magnetization 0.0 μB/cell, density of states at the Fermi level 0.49 states/eV per atom.